i.
Below is crystalline HfGa3Re at its relaxed geometry, with properties calculated at the PBE level.

Results
volume = 21.33 Å³ per atom
theoretical density = 8.935 Mg/m³
space group = Pm-3m
total moment = 0.000 μB per formula unit
DOS(E_F) = 4.3 states/eV per cell

Unit cell a=4.742 b=4.742 c=4.742 alpha=90.00 beta=90.00 gamma=90.00
Positions (direct):
Hf (0.000, 0.000, 0.000)
Ga (0.000, 0.500, 0.500)
Ga (0.500, 0.000, 0.500)
Ga (0.500, 0.500, 0.000)
Re (0.500, 0.500, 0.500)

ii.
Below is crystalline HfGa3Re at its relaxed geometry, with properties calculated at the PBE level.

Results
volume = 25.72 Å³ per atom
theoretical density = 7.410 Mg/m³
space group = Pm-3m
total moment = 3.493 μB per formula unit
DOS(E_F) = 2.6 states/eV per cell

Unit cell a=5.048 b=5.048 c=5.048 alpha=90.00 beta=90.00 gamma=90.00
Positions (direct):
Hf (0.000, 0.000, 0.000)
Ga (0.000, 0.000, 0.500)
Ga (0.000, 0.500, 0.000)
Ga (0.500, 0.000, 0.000)
Re (0.500, 0.500, 0.500)

So which one wins? Going from most stable to least: i, ii.

i.
Below is crystalline Hf4GaRe at its relaxed geometry, with properties calculated at the PBE level.

Results
volume = 19.47 Å³ per atom
theoretical density = 13.790 Mg/m³
space group = Cmmm
total moment = 0.000 μB per formula unit
DOS(E_F) = 2.4 states/eV per cell

Unit cell a=6.025 b=6.025 c=4.573 alpha=90.00 beta=90.00 gamma=135.29
Positions (direct):
Hf (0.155, 0.845, 0.000)
Hf (0.344, 0.656, 0.500)
Hf (0.656, 0.344, 0.500)
Hf (0.845, 0.155, 0.000)
Ga (0.500, 0.500, 0.000)
Re (0.000, 0.000, 0.500)

ii.
Below is crystalline Hf4GaRe at its relaxed geometry, with properties calculated at the PBE level.

Results
volume = 20.08 Å³ per atom
theoretical density = 13.367 Mg/m³
space group = P4/mcc
total moment = 0.000 μB per formula unit
DOS(E_F) = 14.6 states/eV per cell

Unit cell a=6.719 b=6.719 c=5.338 alpha=90.00 beta=90.00 gamma=90.00
Positions (direct):
Hf (0.156, 0.338, 0.000)
Hf (0.156, 0.662, 0.500)
Hf (0.338, 0.156, 0.500)
Hf (0.338, 0.844, 0.000)
Hf (0.662, 0.156, 0.000)
Hf (0.662, 0.844, 0.500)
Hf (0.844, 0.338, 0.500)
Hf (0.844, 0.662, 0.000)
Ga (0.500, 0.500, 0.250)
Ga (0.500, 0.500, 0.750)
Re (0.000, 0.000, 0.250)
Re (0.000, 0.000, 0.750)

So which one wins? Going from most stable to least: ii, i.